1.
Below is a relaxed structure of CdCo4Cl, with properties calculated at the PBE-GGA level.

a = 4.979 Å, b = 4.979 Å, c = 4.979 Å
α = 60.00°, β = 60.00°, γ = 60.00°
Element x y z (fractional)
Cd 0.000 0.000 0.000
Co 0.375 0.375 0.375
Co 0.375 0.375 0.874
Co 0.375 0.874 0.375
Co 0.874 0.375 0.375
Cl 0.750 0.750 0.750

Computed properties:
Total DFT energy (no corrections) (eV per formula unit): -27.77
Uncorrected formation energy (kJ/mol of formula units): 329
Space-group type: F-43m, No. 216

---

2.
Below is a relaxed structure of Nd2Ga3Sn, with properties calculated at the PBE-GGA level.

a = 8.783 Å, b = 8.737 Å, c = 6.155 Å
α = 69.83°, β = 69.03°, γ = 41.14°
Element x y z (fractional)
Nd 0.249 0.751 0.751
Nd 0.250 0.250 0.250
Nd 0.750 0.750 0.750
Nd 0.751 0.249 0.249
Ga 0.179 0.660 0.340
Ga 0.340 0.340 0.660
Ga 0.340 0.821 0.179
Ga 0.660 0.179 0.821
Ga 0.660 0.660 0.340
Ga 0.821 0.340 0.660
Sn 0.167 0.167 0.833
Sn 0.833 0.833 0.167

Computed properties:
Total DFT energy (no corrections) (eV per formula unit): -26.53
Space-group type: Fmmm, No. 69
Formation enthalpy at 0 K (eV per atom): -0.652

---

3.
Below is a relaxed structure of Nd8Er3Tm3, with properties calculated at the PBE-GGA level.

a = 9.741 Å, b = 9.741 Å, c = 9.741 Å
α = 146.26°, β = 112.11°, γ = 77.99°
Element x y z (fractional)
Nd 0.059 0.396 0.663
Nd 0.068 0.225 0.843
Nd 0.267 0.604 0.663
Nd 0.382 0.225 0.157
Nd 0.618 0.775 0.843
Nd 0.733 0.396 0.337
Nd 0.932 0.775 0.157
Nd 0.941 0.604 0.337
Er 0.000 0.000 0.000
Er 0.304 0.000 0.304
Er 0.696 0.000 0.696
Tm 0.320 0.820 0.500
Tm 0.500 0.500 0.000
Tm 0.680 0.180 0.500

Computed properties:
Total DFT energy (no corrections) (eV per formula unit): -63.65
Space-group type: Immm, No. 71
Formation enthalpy at 0 K (eV per atom): 0.114

---

Number 2 is which compound?
Nd2Ga3Sn